Material: CuH2OF2
Method: DFT, GGA-PBE
State: optimized geometry

The structure in POSCAR format:
```
CuH2OF2
1.0
3.9583 -2.8130 0.0000
3.9583 2.8130 0.0000
0.0000 0.0000 5.5810
Cu H O F
2 4 2 4
Direct
0.9995 0.0005 0.0000
0.0005 0.9995 0.5000
0.3421 0.4538 0.7481
0.4538 0.3421 0.2481
0.5462 0.6579 0.7481
0.6579 0.5462 0.2481
0.3454 0.6546 0.7483
0.6546 0.3454 0.2483
0.0703 0.2513 0.7497
0.2513 0.0703 0.2497
0.7487 0.9297 0.7497
0.9297 0.7487 0.2497
```

## Properties
V   10.4 Å³ per atom
D(E_F)   0.46 states/eV per cell
Symmetry   Cmc2_1, No. 36
Crystal system   orthorhombic
Electronic total energy   -4.4934 eV/atom
Total moment   1.00 μB/f.u.



Material: Cu3H2O2F4
Method: DFT, GGA-PBE
State: optimized geometry

The structure in POSCAR format:
```
Cu3H2O2F4
1.0
5.5926 0.0000 0.0000
0.0000 4.8935 0.0000
-5.1715 0.0000 8.4552
Cu H O F
6 4 4 8
Direct
0.0000 0.0000 0.0000
0.0000 0.5000 0.5000
0.3392 0.0555 0.8256
0.3392 0.4445 0.3256
0.6608 0.5555 0.6744
0.6608 0.9445 0.1744
0.3403 0.1425 0.5531
0.3403 0.3575 0.0531
0.6597 0.6425 0.9469
0.6597 0.8575 0.4469
0.3334 0.1629 0.0181
0.3334 0.3371 0.5181
0.6666 0.6629 0.4819
0.6666 0.8371 0.9819
0.0413 0.1945 0.1855
0.0413 0.3055 0.6855
0.3312 0.6194 0.1472
0.3312 0.8806 0.6472
0.6688 0.1194 0.3528
0.6688 0.3806 0.8528
0.9587 0.6945 0.3145
0.9587 0.8055 0.8145
```

## Properties
V   10.5 Å³ per atom
D(E_F)   2.06 states/eV per cell
Symmetry   P2_1/c, No. 14
Crystal system   monoclinic
Electronic total energy   -4.5506 eV/atom
Total moment   3.00 μB/f.u.



Material: CuHOF2
Method: DFT, GGA-PBE
State: optimized geometry

The structure in POSCAR format:
```
CuHOF2
1.0
3.8748 0.0000 0.0000
0.0000 3.8748 0.0000
0.0000 0.0000 3.7285
Cu H O F
1 1 1 2
Direct
0.0000 0.0000 0.0000
0.5000 0.5000 0.5000
0.0000 0.0000 0.5000
0.0000 0.5000 0.0000
0.5000 0.0000 0.0000
```

## Properties
V   11.2 Å³ per atom
D(E_F)   2.80 states/eV per cell
Symmetry   P4/mmm, No. 123
Crystal system   tetragonal
Electronic total energy   -3.3801 eV/atom
Total moment   0.74 μB/f.u.



Material: CuH4O2F2
Method: DFT, GGA-PBE
State: optimized geometry

The structure in POSCAR format:
```
CuH4O2F2
1.0
3.4745 -3.6764 0.0000
3.4745 3.6764 0.0000
-1.3409 0.0000 3.1911
Cu H O F
1 4 2 2
Direct
0.0000 0.0000 0.0000
0.2282 0.5513 0.7961
0.4487 0.7718 0.2039
0.5513 0.2282 0.7961
0.7718 0.4487 0.2039
0.2607 0.7393 0.0000
0.7393 0.2607 0.0000
0.2332 0.2332 0.5385
0.7668 0.7668 0.4615
```

## Properties
V   9.1 Å³ per atom
Symmetry   C2/m, No. 12
Crystal system   monoclinic
Electronic total energy   -4.6911 eV/atom
Total moment   1.00 μB/f.u.



Material: CuPH4O5F
Method: DFT, GGA-PBE
State: optimized geometry

The structure in POSCAR format:
```
CuPH4O5F
1.0
7.6555 0.0000 0.0000
0.0000 7.8170 0.0000
-3.6090 0.0000 8.4878
Cu P H O F
4 4 16 20 4
Direct
0.1160 0.1902 0.0571
0.1160 0.3098 0.5571
0.8840 0.6902 0.4429
0.8840 0.8098 0.9429
0.0492 0.5042 0.8190
0.0492 0.9958 0.3190
0.9508 0.0042 0.6810
0.9508 0.4958 0.1810
0.3089 0.7421 0.0230
0.3089 0.7579 0.5230
0.4076 0.5051 0.6154
0.4076 0.9949 0.1154
0.4417 0.1719 0.0415
0.4417 0.3281 0.5415
0.4942 0.7256 0.1819
0.4942 0.7744 0.6819
0.5058 0.2256 0.3181
0.5058 0.2744 0.8181
0.5583 0.6719 0.4585
0.5583 0.8281 0.9585
0.5924 0.0051 0.8846
0.5924 0.4949 0.3846
0.6911 0.2421 0.4770
0.6911 0.2579 0.9770
0.0801 0.5158 0.6643
0.0801 0.9842 0.1643
0.0843 0.6756 0.9068
0.0843 0.8244 0.4068
0.1580 0.1455 0.4182
0.1580 0.3545 0.9182
0.3909 0.1236 0.1180
0.3909 0.3764 0.6180
0.4368 0.7075 0.5834
0.4368 0.7925 0.0834
0.5632 0.2075 0.9166
0.5632 0.2925 0.4166
0.6091 0.6236 0.3820
0.6091 0.8764 0.8820
0.8420 0.6455 0.0818
0.8420 0.8545 0.5818
0.9157 0.1756 0.5932
0.9157 0.3244 0.0932
0.9199 0.0158 0.8357
0.9199 0.4842 0.3357
0.1722 0.5301 0.2323
0.1722 0.9699 0.7323
0.8278 0.0301 0.2677
0.8278 0.4699 0.7677
```

## Properties
V   10.6 Å³ per atom
Symmetry   P2_1/c, No. 14
Crystal system   monoclinic
Electronic total energy   -5.5515 eV/atom
Total moment   1.00 μB/f.u.



Material: CuSb2H12O6F8
Method: DFT, GGA-PBE
State: optimized geometry

The structure in POSCAR format:
```
CuSb2H12O6F8
1.0
5.0395 0.0000 0.0000
0.0000 18.2311 0.0000
-3.6429 0.0000 6.9777
Cu Sb H O F
2 4 24 12 16
Direct
0.0000 0.0000 0.0000
0.0000 0.5000 0.5000
0.3767 0.2195 0.4908
0.3767 0.2805 0.9908
0.6233 0.7195 0.0092
0.6233 0.7805 0.5092
0.1685 0.1118 0.8561
0.1685 0.3882 0.3561
0.1714 0.5887 0.7846
0.1714 0.9113 0.2846
0.2540 0.5549 0.3180
0.2540 0.9451 0.8180
0.2712 0.6160 0.4678
0.2712 0.8840 0.9678
0.4122 0.0217 0.6622
0.4122 0.4783 0.1622
0.4978 0.0596 0.3527
0.4978 0.4404 0.8527
0.5022 0.5596 0.1473
0.5022 0.9404 0.6473
0.5878 0.5217 0.8378
0.5878 0.9783 0.3378
0.7288 0.1160 0.0322
0.7288 0.3840 0.5322
0.7460 0.0549 0.1820
0.7460 0.4451 0.6820
0.8286 0.0887 0.7154
0.8286 0.4113 0.2154
0.8315 0.6118 0.6439
0.8315 0.8882 0.1439
0.0266 0.0698 0.8121
0.0266 0.4302 0.3121
0.1395 0.5769 0.3829
0.1395 0.9231 0.8829
0.4736 0.5248 0.2338
0.4736 0.9752 0.7338
0.5264 0.0248 0.2662
0.5264 0.4752 0.7662
0.8605 0.0769 0.1171
0.8605 0.4231 0.6171
0.9734 0.5698 0.6879
0.9734 0.9302 0.1879
0.1882 0.7254 0.8492
0.1882 0.7746 0.3492
0.4345 0.1747 0.9021
0.4345 0.3253 0.4021
0.4383 0.1914 0.2664
0.4383 0.3086 0.7664
0.4784 0.1029 0.5502
0.4784 0.3971 0.0502
0.5216 0.6029 0.9498
0.5216 0.8971 0.4498
0.5617 0.6914 0.2336
0.5617 0.8086 0.7336
0.5655 0.6747 0.5979
0.5655 0.8253 0.0979
0.8118 0.2254 0.6508
0.8118 0.2746 0.1508
```

## Properties
V   11.1 Å³ per atom
Symmetry   P2_1/c, No. 14
Crystal system   monoclinic
Electronic total energy   -4.8409 eV/atom
Total moment   1.05 μB/f.u.



Material: PmCuH2F8
Method: DFT, GGA-PBE
State: optimized geometry

The structure in POSCAR format:
```
PmCuH2F8
1.0
3.8357 0.0000 0.0000
-1.8927 4.7302 0.0000
-0.7078 -1.6642 7.9431
Pm Cu H F
1 1 2 8
Direct
0.0000 0.0000 0.0000
0.0000 0.0000 0.5000
0.4643 0.4550 0.7445
0.5357 0.5450 0.2555
0.1162 0.1931 0.7205
0.2523 0.7896 0.5532
0.3000 0.3711 0.2483
0.3657 0.7368 0.0178
0.6343 0.2632 0.9822
0.7000 0.6289 0.7517
0.7477 0.2104 0.4468
0.8838 0.8069 0.2795
```

## Properties
V   12.0 Å³ per atom
Symmetry   P-1, No. 2
Crystal system   triclinic
Electronic total energy   -4.8055 eV/atom
Total moment   0.00 μB/f.u.



Material: RbCuH2F8
Method: DFT, GGA-PBE
State: optimized geometry

The structure in POSCAR format:
```
RbCuH2F8
1.0
4.3934 -2.6293 0.0000
4.3934 2.6293 0.0000
-1.9494 0.0000 7.6968
Rb Cu H F
1 1 2 8
Direct
0.0000 0.0000 0.0000
0.0000 0.0000 0.5000
0.2793 0.2793 0.7623
0.7207 0.7207 0.2377
0.2130 0.2130 0.5666
0.2354 0.7593 0.6617
0.2407 0.7646 0.3383
0.3179 0.3179 0.8889
0.6821 0.6821 0.1111
0.7593 0.2354 0.6617
0.7646 0.2407 0.3383
0.7870 0.7870 0.4334
```

## Properties
V   14.8 Å³ per atom
Symmetry   C2/m, No. 12
Crystal system   monoclinic
Electronic total energy   -3.7075 eV/atom
Total moment   0.00 μB/f.u.